(1)
Compound: K2HgH4
Source: the Alexandria database
Functional: PBE-GGA
Structure: relaxed

density = 3.7 g cm⁻³
uncorrected energy = -67.14 eV per cell
total magnetization = 0.0 μB/f.u.

Cell lengths 8.012, 5.955, 10.570 Å; angles 90.00, 90.00, 90.00 degrees
Element x y z (fractional)
K (0.013, 0.250, 0.187)
K (0.164, 0.750, 0.413)
K (0.336, 0.250, 0.913)
K (0.487, 0.750, 0.687)
K (0.513, 0.250, 0.313)
K (0.664, 0.750, 0.087)
K (0.836, 0.250, 0.587)
K (0.987, 0.750, 0.813)
Hg (0.235, 0.750, 0.084)
Hg (0.265, 0.250, 0.584)
Hg (0.735, 0.750, 0.416)
Hg (0.765, 0.250, 0.916)
H (0.011, 0.750, 0.087)
H (0.185, 0.501, 0.659)
H (0.185, 0.999, 0.659)
H (0.189, 0.250, 0.420)
H (0.311, 0.750, 0.920)
H (0.315, 0.001, 0.159)
H (0.315, 0.499, 0.159)
H (0.489, 0.250, 0.587)
H (0.511, 0.750, 0.413)
H (0.685, 0.501, 0.841)
H (0.685, 0.999, 0.841)
H (0.689, 0.250, 0.080)
H (0.811, 0.750, 0.580)
H (0.815, 0.001, 0.341)
H (0.815, 0.499, 0.341)
H (0.989, 0.250, 0.913)



(2)
Compound: KHgH2
Source: the Alexandria database
Functional: PBE-GGA
Structure: relaxed

density = 4.6 g cm⁻³
relative energy among the computed polymorphs = 0.02 eV/f.u.
total magnetization = 0.0 μB/f.u.

Cell lengths 4.348, 4.348, 15.941 Å; angles 90.00, 90.00, 120.00 degrees
Element x y z (fractional)
K (0.000, 0.000, 0.000)
K (0.333, 0.667, 0.667)
K (0.667, 0.333, 0.333)
Hg (0.000, 0.000, 0.500)
Hg (0.333, 0.667, 0.167)
Hg (0.667, 0.333, 0.833)
H (0.000, 0.000, 0.395)
H (0.000, 0.000, 0.605)
H (0.333, 0.667, 0.062)
H (0.333, 0.667, 0.271)
H (0.667, 0.333, 0.729)
H (0.667, 0.333, 0.938)